19
Lattice="4.687 0.000 0.000 0.144 4.717 0.000 0.037 0.027 8.996" Properties=species:S:1:pos:R:3 comment="LiV6O11F (PBE+U, relaxed)" polymorph_energy_ev_per_atom=0.000 final_energy_ev_per_cell=-141.89 sg="P1, No. 1" crystal_system=triclinic pbc="T T T"
Li 0.000 0.000 0.000
V 0.107 2.423 6.688
V 0.157 2.471 3.512
V 2.301 4.564 5.127
V 2.409 0.095 8.077
V 2.455 0.138 2.187
V 4.738 2.366 0.687
O 1.017 3.313 5.086
O 1.029 3.341 8.175
O 1.040 3.338 2.251
O 1.441 0.926 6.609
O 1.422 0.900 0.679
O 1.445 0.948 3.651
O 3.350 3.814 6.609
O 3.367 3.810 3.649
O 3.362 3.820 0.667
O 3.762 1.384 8.172
O 3.789 1.421 2.197
F 3.825 1.481 5.092